# Sr8Fe2Ru2O13

A relaxed structure of Sr8Fe2Ru2O13 (GGA+U, Alexandria).

total DFT energy (no corrections)	-6.457	eV/atom
calculated volume	379.2	Å³/cell
crystal system	monoclinic

a b c (Å): 8.8056 8.8056 5.4373
angles (deg): 73.25 73.25 95.45
Last column: magnetic moment on the atom in μB.
Sites, in units of the cell vectors:
Fe 0.8737 0.8737 0.3759  4.26
Fe 0.1263 0.1263 0.6241  4.26
Ru 0.3806 0.3806 0.8571  0.11
Ru 0.6194 0.6194 0.1429  0.11
Sr 0.0178 0.7283 0.8744  0.00
Sr 0.7283 0.0178 0.8744  0.00
Sr 0.2223 0.5313 0.3651  0.00
Sr 0.5313 0.2223 0.3651  0.00
Sr 0.7777 0.4687 0.6349  0.00
Sr 0.4687 0.7777 0.6349  0.00
Sr 0.9822 0.2717 0.1256  0.00
Sr 0.2717 0.9822 0.1256  0.00
O 0.0000 0.0000 0.5000  0.26
O 0.0000 0.0000 0.0000  0.21
O 0.7312 0.7312 0.7586  0.06
O 0.5414 0.2130 0.8693  0.01
O 0.2688 0.2688 0.2414  0.06
O 0.4586 0.7870 0.1307  0.01
O 0.7051 0.0158 0.3659  0.10
O 0.0158 0.7051 0.3659  0.10
O 0.7870 0.4586 0.1307  0.01
O 0.9842 0.2949 0.6341  0.10
O 0.2130 0.5414 0.8693  0.01
O 0.2949 0.9842 0.6341  0.10
O 0.5000 0.5000 0.5000  0.00